Compound: MnFe3
Source: Alexandria
Functional: GGA-PBEsol
Structure: optimized geometry

The structure in POSCAR format:
```
MnFe3
1.0
-1.5528 -1.7726 0.5395
0.9247 0.2139 3.3644
-3.4775 3.2737 0.7477
Fe Mn
3 1
Direct
0.0000 0.0000 0.2515 Fe
0.0000 0.0000 0.7485 Fe
0.5000 0.5000 0.5000 Fe
0.5000 0.5000 0.0000 Mn
```

As for the formation enthalpy at 0 K: 0.0472 eV per atom. The symmetry is Pmmm (47). Its crystal system is orthorhombic.